[1]
The following is a PBE-GGA calculation of an optimized crystal structure of LuGa, from Alexandria via LeMat-Bulk. Values from VASP.

Space group: Cmcm (63)

Geometry as Quantum ESPRESSO input:
```
&SYSTEM
  ibrav = 0, nat = 4, ntyp = 2
/
ATOMIC_SPECIES
Lu 174.97 Lu.upf
Ga 69.72 Ga.upf
CELL_PARAMETERS angstrom
2.141 -5.315 0.000
2.141 5.315 0.000
0.000 0.000 3.948
ATOMIC_POSITIONS crystal
Lu 0.139 0.861 0.750
Lu 0.861 0.139 0.250
Ga 0.420 0.580 0.750
Ga 0.580 0.420 0.250
```


[2]
The following is a PBE-GGA calculation of an optimized crystal structure of MgCd2Cu, from Alexandria via LeMat-Bulk. Values from VASP.

Space group: Pnma (62)

Geometry as Quantum ESPRESSO input:
```
&SYSTEM
  ibrav = 0, nat = 32, ntyp = 3
/
ATOMIC_SPECIES
Mg 24.30 Mg.upf
Cd 112.41 Cd.upf
Cu 63.55 Cu.upf
CELL_PARAMETERS angstrom
14.896 0.000 0.000
0.000 8.227 0.000
0.000 0.000 5.149
ATOMIC_POSITIONS crystal
Mg 0.110 0.250 0.246
Mg 0.136 0.750 0.052
Mg 0.364 0.250 0.552
Mg 0.390 0.750 0.746
Mg 0.610 0.250 0.254
Mg 0.636 0.750 0.448
Mg 0.864 0.250 0.948
Mg 0.890 0.750 0.754
Cd 0.037 0.060 0.758
Cd 0.037 0.440 0.758
Cd 0.214 0.559 0.549
Cd 0.214 0.941 0.549
Cd 0.286 0.059 0.049
Cd 0.286 0.441 0.049
Cd 0.463 0.560 0.258
Cd 0.463 0.940 0.258
Cd 0.537 0.060 0.742
Cd 0.537 0.440 0.742
Cd 0.714 0.559 0.951
Cd 0.714 0.941 0.951
Cd 0.786 0.059 0.451
Cd 0.786 0.441 0.451
Cd 0.963 0.560 0.242
Cd 0.963 0.940 0.242
Cu 0.064 0.750 0.565
Cu 0.189 0.250 0.734
Cu 0.311 0.750 0.234
Cu 0.436 0.250 0.065
Cu 0.564 0.750 0.935
Cu 0.689 0.250 0.766
Cu 0.811 0.750 0.266
Cu 0.936 0.250 0.435
```


[3]
The following is a PBE-GGA calculation of an optimized crystal structure of TaBiPS2, from Alexandria via LeMat-Bulk. Values from VASP.

Space group: P4/mmm (123)
Formation energy without anion corrections in eV per atom: -0.08

Geometry as Quantum ESPRESSO input:
```
&SYSTEM
  ibrav = 0, nat = 5, ntyp = 4
/
ATOMIC_SPECIES
Ta 180.95 Ta.upf
Bi 208.98 Bi.upf
P 30.97 P.upf
S 32.06 S.upf
CELL_PARAMETERS angstrom
4.710 0.000 0.000
0.000 4.710 0.000
0.000 0.000 5.125
ATOMIC_POSITIONS crystal
Ta 0.000 0.000 0.000
Bi 0.500 0.500 0.500
P 0.000 0.000 0.500
S 0.000 0.500 0.000
S 0.500 0.000 0.000
```


[4]
The following is a PBE-GGA calculation of an optimized crystal structure of Ca2ThNi9, from Alexandria via LeMat-Bulk. Values from VASP.

Space group: R-3m (166)

Geometry as Quantum ESPRESSO input:
```
&SYSTEM
  ibrav = 0, nat = 12, ntyp = 3
/
ATOMIC_SPECIES
Ca 40.08 Ca.upf
Th 232.04 Th.upf
Ni 58.69 Ni.upf
CELL_PARAMETERS angstrom
2.495 1.440 8.203
-2.495 1.440 8.203
0.000 -2.881 8.203
ATOMIC_POSITIONS crystal
Ca 0.143 0.143 0.143
Ca 0.857 0.857 0.857
Th 0.000 0.000 0.000
Ni 0.083 0.580 0.580
Ni 0.333 0.333 0.333
Ni 0.420 0.420 0.917
Ni 0.420 0.917 0.420
Ni 0.500 0.500 0.500
Ni 0.580 0.083 0.580
Ni 0.580 0.580 0.083
Ni 0.667 0.667 0.667
Ni 0.917 0.420 0.420
```


| no. | E (eV/cell) | mass density (g/cm3) | magnetic moment (μB/atom) |
| --- | --- | --- | --- |
| 1 | -17.5 | 9.05 | 0.0000 |
| 2 | -61.6 | 6.58 | 0.0000 |
| 3 | -29.8 | 7.09 | 0.0000 |
| 4 | -66.9 | 7.89 | 0.0456 |